*one*
Tc3TeSe | PBE-GGA | optimized geometry

Its calculated volume is 115.8 Å³/cell. Its crystal system is cubic.

The space group is Pm-3m (No. 221) and the conventional cell measures 4.8738, 4.8738 and 4.8738 Å, with angles of 90.00, 90.00 and 90.00 degrees. The asymmetric unit holds Tc at (0.0000, 0.0000, 0.5000), Te at (0.0000, 0.0000, 0.0000) and Se at (0.5000, 0.5000, 0.5000).

---

*two*
Tc3TeSe | PBE-GGA | optimized geometry

Its calculated volume is 98.1 Å³/cell. Its crystal system is cubic.

The space group is Pm-3m (No. 221) and the conventional cell measures 4.6124, 4.6124 and 4.6124 Å, with angles of 90.00, 90.00 and 90.00 degrees. The asymmetric unit holds Tc at (0.0000, 0.0000, 0.5000), Te at (0.5000, 0.5000, 0.5000) and Se at (0.0000, 0.0000, 0.0000).

---

Q: Which of them is the least stable? A: *one*.

---

*one*
TiTc3Se | PBE-GGA | optimized geometry

Its calculated volume is 95.4 Å³/cell. Its crystal system is cubic.

The space group is Pm-3m (No. 221) and the conventional cell measures 4.5686, 4.5686 and 4.5686 Å, with angles of 90.00, 90.00 and 90.00 degrees. The asymmetric unit holds Ti at (0.0000, 0.0000, 0.0000), Tc at (0.0000, 0.0000, 0.5000) and Se at (0.5000, 0.5000, 0.5000).

---

*two*
TiTc3Se | PBE-GGA | optimized geometry

Its calculated volume is 90.9 Å³/cell. Its crystal system is cubic.

The space group is Pm-3m (No. 221) and the conventional cell measures 4.4956, 4.4956 and 4.4956 Å, with angles of 90.00, 90.00 and 90.00 degrees. The asymmetric unit holds Ti at (0.0000, 0.0000, 0.0000), Tc at (0.0000, 0.5000, 0.5000) and Se at (0.5000, 0.5000, 0.5000).

---

Q: Which of them is the least stable? A: *one*.

---

*one*
Ti2TcSe2 | PBE-GGA | optimized geometry

Its calculated volume is 165.1 Å³/cell. Its crystal system is tetragonal.

The space group is P4/mbm (No. 127) and the conventional cell measures 7.0235, 7.0235 and 3.3475 Å, with angles of 90.00, 90.00 and 90.00 degrees. The asymmetric unit holds Ti at (0.1486, 0.3514, 0.0000), Tc at (0.0000, 0.0000, 0.0000) and Se at (0.1547, 0.6547, 0.5000).

---

*two*
Ti2TcSe2 | PBE-GGA | optimized geometry

Its calculated volume is 177.8 Å³/cell. Its crystal system is tetragonal.

The space group is I4/mmm (No. 139) and the conventional cell measures 3.6216, 3.6216 and 13.5542 Å, with angles of 90.00, 90.00 and 90.00 degrees. The asymmetric unit holds Ti at (0.0000, 0.0000, 0.1029), Tc at (0.0000, 0.0000, 0.5000) and Se at (0.0000, 0.5000, 0.2500).

---

Q: Which of them is the least stable? A: *two*.

---

*one*
TiTcSe2 | PBE-GGA | optimized geometry

Its calculated volume is 326.3 Å³/cell. Its crystal system is tetragonal.

The space group is I-42d (No. 122) and the conventional cell measures 4.7674, 4.7674 and 14.3581 Å, with angles of 90.00, 90.00 and 90.00 degrees. The asymmetric unit holds Ti at (0.0000, 0.0000, 0.0000), Tc at (0.0000, 0.0000, 0.5000) and Se at (0.2398, 0.2500, 0.6250).

---

*two*
TiTcSe2 | PBE-GGA | optimized geometry

Its calculated volume is 216.3 Å³/cell. Its crystal system is trigonal.

The space group is R-3m (No. 166, hexagonal axes) and the conventional cell measures 3.1517, 3.1517 and 25.1437 Å, with angles of 90.00, 90.00 and 120.00 degrees. The asymmetric unit holds Ti at (0.0000, 0.0000, 0.0000), Tc at (0.0000, 0.0000, 0.5000) and Se at (0.0000, 0.0000, 0.4038).

---

*three*
TiTcSe2 | PBE-GGA | optimized geometry

Its calculated volume is 254.3 Å³/cell. Its crystal system is cubic.

The space group is Fm-3m (No. 225) and the conventional cell measures 6.3351, 6.3351 and 6.3351 Å, with angles of 90.00, 90.00 and 90.00 degrees. The asymmetric unit holds Ti at (0.0000, 0.0000, 0.0000), Tc at (0.0000, 0.0000, 0.5000) and Se at (0.2500, 0.2500, 0.2500).

---

Q: Which of them is the least stable? A: *two*.

---

*one*
TlTcSe2 | PBE-GGA | optimized geometry

Its calculated volume is 197.7 Å³/cell. Its crystal system is monoclinic.

The space group is Pm (No. 6) and the conventional cell measures 5.9290, 3.4989 and 9.6265 Å, with angles of 90.00, 98.19 and 90.00 degrees. The asymmetric unit holds Tl at (0.0000, 0.0000, 0.0000), Tl at (0.4820, 0.5000, 0.9278), Tc at (0.5476, 0.0000, 0.4592), Tc at (0.9379, 0.5000, 0.4684), Se at (0.1288, 0.0000, 0.3284), Se at (0.3567, 0.5000, 0.5993), Se at (0.6160, 0.5000, 0.2810) and Se at (0.8695, 0.0000, 0.6466).

---

*two*
TlTcSe2 | PBE-GGA | optimized geometry

Its calculated volume is 444.8 Å³/cell. Its crystal system is monoclinic.

The space group is C2/c (No. 15) and the conventional cell measures 7.3514, 11.5492 and 5.7356 Å, with angles of 90.00, 114.03 and 90.00 degrees. The asymmetric unit holds Tl at (0.0000, 0.1229, 0.2500), Tc at (0.0000, 0.4981, 0.7500) and Se at (0.2045, 0.3829, 0.1110).

---

Q: Which of them is the least stable? A: *two*.

---

*one*
TlTc3Se | PBE-GGA | optimized geometry

Its calculated volume is 137.4 Å³/cell. Its crystal system is cubic.

The space group is Pm-3m (No. 221) and the conventional cell measures 5.1602, 5.1602 and 5.1602 Å, with angles of 90.00, 90.00 and 90.00 degrees. The asymmetric unit holds Tl at (0.0000, 0.0000, 0.0000), Tc at (0.0000, 0.0000, 0.5000) and Se at (0.5000, 0.5000, 0.5000).

---

*two*
TlTc3Se | PBE-GGA | optimized geometry

Its calculated volume is 96.9 Å³/cell. Its crystal system is cubic.

The space group is Pm-3m (No. 221) and the conventional cell measures 4.5932, 4.5932 and 4.5932 Å, with angles of 90.00, 90.00 and 90.00 degrees. The asymmetric unit holds Tl at (0.0000, 0.0000, 0.0000), Tc at (0.0000, 0.5000, 0.5000) and Se at (0.5000, 0.5000, 0.5000).

---

Q: Which of them is the least stable? A: *one*.